The following is a PBEsol calculation of crystalline TcAu3I at its relaxed geometry, from the Alexandria database.

Summary:
Total magnetic moment = 5.0 μB per cell
Crystal system = cubic
Formation energy without anion corrections = 9.40 eV/f.u.
Calculated total energy = -3.08 eV per atom

Cell: 5.1871 5.1871 5.1871 Å, 90.00 90.00 90.00°
Sites, in units of the cell vectors:
I (0.0000, 0.0000, 0.0000)
Au (0.0000, 0.5000, 0.0000)
Au (0.0000, 0.0000, 0.5000)
Au (0.5000, 0.0000, 0.0000)
Tc (0.5000, 0.5000, 0.5000)